1.
Computed, not measured: TaAlCl2 at its PBEsol-relaxed geometry at the SCAN level of DFT.

abc: 2.953 5.040 5.040
angles: 110.16 90.00 90.00
Element x y z (fractional)
Cl 0.000 0.500 0.000
Cl 0.000 0.000 0.500
Al 0.500 0.500 0.500
Ta 0.500 0.000 0.000

Results
Formation energy without anion corrections, eV/atom: 0.48
Raw total energy, eV/atom: -22.090
DOS at the Fermi energy, states/eV per cell: 2.6
Space-group type: Cmmm, No. 65
Crystal system: orthorhombic

2.
Computed, not measured: TaAlCl2 at its PBEsol-relaxed geometry at the SCAN level of DFT.

abc: 3.018 4.846 4.942
angles: 90.00 90.00 108.14
Element x y z (fractional)
Cl 0.893 0.787 0.000
Cl 0.337 0.674 0.500
Al 0.591 0.182 0.500
Ta 0.178 0.357 0.000

Results
Formation energy without anion corrections, eV/atom: -0.25
Raw total energy, eV/atom: -22.819
DOS at the Fermi energy, states/eV per cell: 0.8
Space-group type: Amm2, No. 38
Crystal system: orthorhombic

3.
Computed, not measured: TaAlCl2 at its PBEsol-relaxed geometry at the SCAN level of DFT.

abc: 2.953 4.847 6.447
angles: 100.84 103.24 90.00
Element x y z (fractional)
Cl 0.656 0.701 0.311
Cl 0.344 0.299 0.689
Al 0.500 0.000 0.000
Ta 0.000 0.500 0.000

Results
Formation energy without anion corrections, eV/atom: -0.42
Raw total energy, eV/atom: -22.990
DOS at the Fermi energy, states/eV per cell: 2.3
Space-group type: C2/m, No. 12
Crystal system: monoclinic

4.
Computed, not measured: Ta2AlCl at its PBEsol-relaxed geometry at the SCAN level of DFT.

abc: 2.856 3.003 9.041
angles: 90.00 90.00 118.40
Element x y z (fractional)
Cl 0.500 0.000 0.000
Al 0.500 0.000 0.500
Ta 0.000 0.000 0.758
Ta 0.000 0.000 0.242

Results
Formation energy without anion corrections, eV/atom: 0.09
Raw total energy, eV/atom: -37.130
DOS at the Fermi energy, states/eV per cell: 2.8
Space-group type: Cmmm, No. 65
Crystal system: orthorhombic

5.
Computed, not measured: Ta2AlCl at its PBEsol-relaxed geometry at the SCAN level of DFT.

abc: 4.595 4.595 4.595
angles: 60.00 60.00 60.00
Element x y z (fractional)
Cl 0.250 0.250 0.250
Al 0.500 0.500 0.500
Ta 0.000 0.000 0.000
Ta 0.750 0.750 0.750

Results
Formation energy without anion corrections, eV/atom: 0.70
Raw total energy, eV/atom: -36.525
DOS at the Fermi energy, states/eV per cell: 5.0
Space-group type: F-43m, No. 216
Crystal system: cubic

6.
Computed, not measured: TaAlCl2 at its PBEsol-relaxed geometry at the SCAN level of DFT.

abc: 3.035 3.035 10.990
angles: 82.06 82.06 60.00
Element x y z (fractional)
Cl 0.222 0.222 0.334
Cl 0.778 0.778 0.666
Al 0.000 0.000 0.000
Ta 0.500 0.500 0.500

Results
Formation energy without anion corrections, eV/atom: -0.38
Raw total energy, eV/atom: -22.952
DOS at the Fermi energy, states/eV per cell: 1.6
Space-group type: R-3m, No. 166
Crystal system: trigonal

Question: Among the records above, which one has the highest formation energy without anion corrections?
Answer: number 5

Question: raw total energy of number 6 (TaAlCl2)?
Answer: -22.952 eV/atom